The following is a GGA-PBE calculation of a geometry-optimized MnAg5Te6 structure, from Alexandria via LeMat-Bulk.

It has space group C2/m (No. 12), with a = 7.1656 Å, b = 12.4243 Å, c = 7.2089 Å, α = 90.00°, β = 110.37° and γ = 90.00°. The distinct sites, in fractional coordinates, are Mn at (0.0000, 0.0000, 0.0000), Ag at (0.0000, 0.1620, 0.5000), Ag at (0.0000, 0.3291, 0.0000), Ag at (0.0000, 0.5000, 0.5000), Te at (0.2310, 0.1571, 0.2505) and Te at (0.2441, 0.0000, 0.7841).

The uncorrected formation energy is -34 meV/atom. The calculation puts the electronic total energy at -3.5565 eV per atom. The value obtained for the calculated volume is 25.07 A^3/atom.

---

The following is a GGA-PBE calculation of a geometry-optimized LaTeIO2 structure, from Alexandria via LeMat-Bulk.

It has space group P4/mmm (No. 123), with a = 4.3842 Å, b = 4.3842 Å, c = 6.1161 Å, α = 90.00°, β = 90.00° and γ = 90.00°. The distinct sites, in fractional coordinates, are La at (0.0000, 0.0000, 0.0000), Te at (0.5000, 0.5000, 0.5000), I at (0.5000, 0.5000, 0.0000) and O at (0.0000, 0.5000, 0.5000).

The uncorrected formation energy is -642 meV/atom. The calculation puts the electronic total energy at -4.5491 eV per atom. The value obtained for the distance to the lowest polymorph of the same formula is 462.9 meV per atom. The value obtained for the calculated volume is 23.51 A^3/atom.

---

The following is a GGA-PBE calculation of a geometry-optimized PuZnSi structure, from Alexandria via LeMat-Bulk.

It has space group P-6m2 (No. 187), with a = 4.3275 Å, b = 4.3275 Å, c = 3.5836 Å, α = 90.00°, β = 90.00° and γ = 120.00°. The distinct sites, in fractional coordinates, are Pu at (0.0000, 0.0000, 0.0000), Zn at (0.6667, 0.3333, 0.5000) and Si at (0.3333, 0.6667, 0.5000).

The uncorrected formation energy is -293 meV/atom. The calculation puts the electronic total energy at -7.3030 eV per atom. The value obtained for the calculated volume is 19.37 A^3/atom.

---

The following is a GGA-PBE calculation of a geometry-optimized DyPuH8Ir2 structure, from Alexandria via LeMat-Bulk.

It has space group R-3m (No. 166, hexagonal axes), with a = 4.5292 Å, b = 4.5292 Å, c = 19.5639 Å, α = 90.00°, β = 90.00° and γ = 120.00°. The distinct sites, in fractional coordinates, are Dy at (0.0000, 0.0000, 0.0000), Pu at (0.0000, 0.0000, 0.5000), H at (0.0000, 0.0000, 0.1475), H at (0.0326, 0.5163, 0.0532) and Ir at (0.0000, 0.0000, 0.2357).

The calculation puts the electronic total energy at -5.4881 eV per atom. The value obtained for the calculated volume is 9.65 A^3/atom.

---

The following is a GGA-PBE calculation of a geometry-optimized LaSmInPb structure, from Alexandria via LeMat-Bulk.

It has space group F-43m (No. 216), with a = 7.8620 Å, b = 7.8620 Å, c = 7.8620 Å, α = 90.00°, β = 90.00° and γ = 90.00°. The distinct sites, in fractional coordinates, are La at (0.0000, 0.0000, 0.0000), Sm at (0.0000, 0.0000, 0.5000), In at (0.2500, 0.2500, 0.2500) and Pb at (0.2500, 0.2500, 0.7500).

The energy relative to the elements comes out at -1.93 eV per formula unit. The calculation puts the electronic total energy at -4.5070 eV per atom. The value obtained for the distance to the lowest polymorph of the same formula is 44.6 meV per atom. The value obtained for the calculated volume is 30.37 A^3/atom.

---

The following is a GGA-PBE calculation of a geometry-optimized LiTbSm2 structure, from Alexandria via LeMat-Bulk.

It has space group P4/mmm (No. 123), with a = 3.6415 Å, b = 3.6415 Å, c = 9.0426 Å, α = 90.00°, β = 90.00° and γ = 90.00°. The distinct sites, in fractional coordinates, are Li at (0.0000, 0.0000, 0.0000), Tb at (0.0000, 0.0000, 0.5000) and Sm at (0.5000, 0.5000, 0.2263).

The energy relative to the elements comes out at 0.27 eV per formula unit. The calculation puts the electronic total energy at -3.9288 eV per atom. The value obtained for the distance to the lowest polymorph of the same formula is 0.0 meV per atom. The value obtained for the calculated volume is 29.98 A^3/atom.

---

> Look up the calculated volume of the sixth one.

29.98 A^3/atom

---

> The lowest electronic total energy belongs to which entry?

PuZnSi

---

> What is the electronic total energy in the third record?

-7.3030 eV per atom